1.
NiRhCl2 | GGA-PBE | relaxed

Properties
Its relative energy among the computed polymorphs is 403 meV/atom. For the total energy, the calculation gives -15.81 eV/cell. The space group is No. 65.

Geometry as POSCAR:
```
NiRhCl2
1.0
3.3439 -0.0099 0.0000
-1.8805 2.7650 0.0000
0.0000 0.0000 7.4269
Rh Cl Ni
1 2 1
Direct
0.5000 0.5000 0.7500 Rh
0.0000 0.0000 0.0234 Cl
0.0000 0.0000 0.4766 Cl
0.5000 0.5000 0.2500 Ni
```

---

2.
NiRhCl | GGA-PBE | relaxed

Properties
Its relative energy among the computed polymorphs is 296 meV/atom. For the total energy, the calculation gives -13.26 eV/cell. The space group is No. 216.

Geometry as POSCAR:
```
NiRhCl
1.0
-1.9541 -3.0088 2.1106
1.3877 -3.9193 -0.1979
1.8197 -1.7335 3.3180
Rh Ni Cl
1 1 1
Direct
0.7500 0.7500 0.7500 Rh
0.5000 0.5000 0.5000 Ni
0.0000 0.0000 0.0000 Cl
```

---

3.
NiRh3Cl | GGA-PBE | relaxed

Properties
Its relative energy among the computed polymorphs is 0 meV/atom. For the total energy, the calculation gives -24.72 eV/cell. The space group is No. 221.

Geometry as POSCAR:
```
NiRh3Cl
1.0
4.3646 0.0000 0.0000
0.0000 4.3646 0.0000
0.0000 0.0000 4.3646
Ni Cl Rh
1 1 3
Direct
0.5000 0.5000 0.5000 Ni
0.0000 0.0000 0.0000 Cl
0.0000 0.5000 0.0000 Rh
0.5000 0.0000 0.0000 Rh
0.0000 0.0000 0.5000 Rh
```

---

4.
NiRhCl | GGA-PBE | relaxed

Properties
Its relative energy among the computed polymorphs is 0 meV/atom. For the total energy, the calculation gives -14.14 eV/cell. The space group is No. 156.

Geometry as POSCAR:
```
NiRhCl
1.0
-1.2244 1.9503 -1.9367
-1.3264 -0.5225 2.6498
2.9978 4.1931 2.3274
Rh Cl Ni
1 1 1
Direct
0.3333 0.6667 0.6447 Rh
0.0000 0.0000 0.0309 Cl
0.6667 0.3333 0.3244 Ni
```

---

5.
NiRhS2Cl | GGA-PBE | relaxed

Properties
Its relative energy among the computed polymorphs is 0 meV/atom. For the total energy, the calculation gives -20.09 eV/cell. The space group is No. 123.

Geometry as POSCAR:
```
NiRhS2Cl
1.0
-4.1769 -1.5017 -0.0297
0.0236 -0.1535 4.4361
-1.5213 4.2284 0.1544
S Ni Cl Rh
2 1 1 1
Direct
0.0000 0.5000 0.0000 S
0.5000 0.0000 0.0000 S
0.0000 0.0000 0.0000 Ni
0.0000 0.0000 0.5000 Cl
0.5000 0.5000 0.5000 Rh
```

---

6.
NiRhS2Cl | GGA-PBE | relaxed

Properties
Its relative energy among the computed polymorphs is 24 meV/atom. For the total energy, the calculation gives -19.97 eV/cell. The space group is No. 123.

Geometry as POSCAR:
```
NiRhS2Cl
1.0
4.6174 0.0000 0.0000
0.0000 4.6174 0.0000
0.0000 0.0000 4.7788
Cl Ni S Rh
1 1 2 1
Direct
0.0000 0.0000 0.5000 Cl
0.5000 0.5000 0.5000 Ni
0.0000 0.5000 0.0000 S
0.5000 0.0000 0.0000 S
0.0000 0.0000 0.0000 Rh
```

---

7.
NiRhS2Cl | GGA-PBE | relaxed

Properties
Its relative energy among the computed polymorphs is 813 meV/atom. For the total energy, the calculation gives -16.02 eV/cell. The space group is No. 123.

Geometry as POSCAR:
```
NiRhS2Cl
1.0
-2.4837 -2.9295 -2.7980
3.6574 -2.0207 -1.1309
-0.5408 -3.0129 3.6345
S Ni Rh Cl
2 1 1 1
Direct
0.5000 0.0000 0.0000 S
0.0000 0.0000 0.5000 S
0.5000 0.5000 0.5000 Ni
0.0000 0.5000 0.0000 Rh
0.0000 0.0000 0.0000 Cl
```

---

8.
TlNi2RhCl | GGA-PBE | relaxed

Properties
For the total energy, the calculation gives -19.93 eV/cell. The space group is No. 123.

Geometry as POSCAR:
```
TlNi2RhCl
1.0
-2.1175 -3.7590 -1.9008
4.1980 -1.8184 -1.0806
0.1288 -2.1842 4.1761
Ni Cl Tl Rh
2 1 1 1
Direct
0.5000 0.0000 0.0000 Ni
0.0000 0.0000 0.5000 Ni
0.0000 0.5000 0.0000 Cl
0.5000 0.5000 0.5000 Tl
0.0000 0.0000 0.0000 Rh
```

---

Short version: energy relative to the elements, uncorrected = 0.25, 0.57, 0.99, 0.28, 0.63, 0.65, 1.44, 0.64 eV per atom, in the order given.
Short version: Fermi-level density of states = 4.0, 2.5, 10.9, 3.9, 6.7, 9.1, 7.0, 5.0 states/eV/cell, in the order given.